A plane-wave DFT calculation with PBE was carried out for an optimized crystal structure of Ba2ZnIrBr.

Raw total energy: -3.82 eV per atom
Mass density: 5.7 g/cm3
Space group: P4/mmm (123)

Cell and atoms, written as CIF:
```
data_Ba2ZnIrBr
_cell_length_a 6.0545
_cell_length_b 6.0545
_cell_length_c 4.8480
_cell_angle_alpha 90.00
_cell_angle_beta 90.00
_cell_angle_gamma 90.00
_space_group_name_H-M_alt 'P 1'
_space_group_IT_number 1
loop_
_space_group_symop_operation_xyz
'x,y,z'
loop_
_atom_site_label
_atom_site_fract_x
_atom_site_fract_y
_atom_site_fract_z
_atom_site_occupancy
Ba1 0.0000 0.5000 0.0000 1
Ba2 0.5000 0.0000 0.0000 1
Zn1 0.0000 0.0000 0.5000 1
Ir1 0.0000 0.0000 0.0000 1
Br1 0.5000 0.5000 0.5000 1
```